Mg4Hg | GGA-PBE | relaxed

Cell and atoms, written as extended XYZ:
```
5
Lattice="-4.769 1.181 -1.872 -2.069 -0.800 4.767 0.786 5.060 1.190" Properties=species:S:1:pos:R:3 pbc="T T T"
Mg -3.419 0.191 1.447
Mg -0.641 2.130 2.978
Mg -1.991 3.121 -0.341
Mg 0.000 0.000 0.000
Hg -3.026 2.721 2.042
```

- symmetry = No. 221
- volume (Å³/f.u.) = 145
- Fermi-level density of states (states/eV per atom) = 0.56
- formation energy (meV per atom) = 196
- electronic total energy (Ha/atom) = -0.04189
- polymorph energy (0 for the lowest one) (meV/atom) = 293